The following is a DFT calculation (GGA-PBE) of a relaxed structure of Zr2TaVCd.

Cell: 4.717 4.717 5.040 Å, 90.00 90.00 90.00°
Space group P4/mmm (No. 123)
One atom of each set of equivalent atoms:
Zr (0.000, 0.500, 0.000) [2 per cell]
Ta (0.000, 0.000, 0.500) [1 per cell]
V (0.500, 0.500, 0.000) [1 per cell]
Cd (0.500, 0.500, 0.500) [1 per cell]

Output
ΔE_f   1.03 eV/atom
Size of the total moment   0.00 μB per formula unit
N(E_F)   1.26 states/eV per atom

The following is a DFT calculation (GGA-PBE) of a relaxed structure of TaCdW2.

Cell: 5.697 9.059 2.718 Å, 90.00 90.00 90.00°
Space group Cmmm (No. 65)
One atom of each set of equivalent atoms:
Ta (0.000, 0.000, 0.000) [2 per cell]
Cd (0.000, 0.500, 0.000) [2 per cell]
W (0.250, 0.250, 0.500) [4 per cell]

Output
ΔE_f   0.49 eV/atom
Size of the total moment   0.00 μB per formula unit
N(E_F)   0.70 states/eV per atom